Entry 1:
9
Lattice="10.241 -0.119 -0.173 -4.968 8.956 0.173 -4.968 -3.027 8.431" Properties=species:S:1:pos:R:3 comment="Cs5KRb2Pt | Alexandria | PBE-GGA | relaxed" formation_enthalpy_0k_ev_per_atom=-0.016 n_ef_per_ev_fu=7.9 pbc="T T T"
Cs -2.129 4.479 6.500
Cs 2.464 1.312 1.904
Rb 0.164 5.894 2.142
Cs -2.310 1.378 2.000
Pt -0.015 0.009 0.013
K -7.694 4.591 6.663
Cs -4.953 6.165 2.078
Rb 0.164 -0.098 6.270
Cs -4.953 -0.253 6.500

Entry 2:
14
Lattice="-5.944 -2.840 -3.190 0.717 -5.172 -5.130 -2.012 -7.255 1.811" Properties=species:S:1:pos:R:3 comment="TmCd3Ag3 | Alexandria | PBE-GGA | relaxed" formation_enthalpy_0k_ev_per_atom=-0.131 n_ef_per_ev_fu=1.7 polymorph_energy_ev_per_fu=0.000 pbc="T T T"
Cd -5.545 -7.057 -1.604
Ag -3.311 -7.151 0.215
Ag -5.752 -4.855 -3.571
Ag -3.928 -8.115 -6.724
Cd -1.346 -7.692 -1.991
Ag -1.487 -10.410 -2.938
Tm -3.492 -5.469 -5.419
Cd -5.893 -7.574 -4.518
Ag -6.322 -9.783 -2.595
Ag -0.917 -5.483 -3.914
Cd -3.167 -5.337 -2.120
Cd -1.694 -8.209 -4.905
Cd -4.072 -9.929 -4.390
Tm -3.747 -9.797 -1.090

Entry 3:
10
Lattice="6.162 0.000 0.000 0.000 5.129 0.000 0.000 0.000 6.631" Properties=species:S:1:pos:R:3 comment="NaCuAgSe2 | Alexandria | PBE-GGA | relaxed" raw_formation_energy_mev_per_atom=-296 n_ef_per_ev_fu=1.8 pbc="T T T"
Ag 3.679 3.847 0.000
Se 4.752 1.282 4.963
Se 4.752 1.282 1.668
Na 4.819 3.847 3.316
Cu 0.000 2.565 0.000
Se 1.410 3.847 4.963
Na 1.342 1.282 3.316
Se 1.410 3.847 1.668
Ag 2.482 1.282 0.000
Cu 0.000 0.000 0.000

Entry 4:
5
Lattice="-0.897 -5.091 -1.297 0.921 -1.448 5.046 -5.019 0.607 1.091" Properties=species:S:1:pos:R:3 comment="SrY2ZnRh | Alexandria | PBE-GGA | relaxed" formation_enthalpy_0k_ev_per_atom=-0.247 n_ef_per_ev_fu=3.0 pbc="T T T"
Rh 0.000 0.000 0.000
Sr -2.498 -2.966 2.420
Y -0.449 -2.546 -0.648
Zn -2.510 0.303 0.545
Y 0.461 -0.724 2.523

Entry 5:
12
Lattice="-4.760 2.422 -0.262 0.288 -5.339 -0.025 -0.462 -0.062 7.807" Properties=species:S:1:pos:R:3 comment="Np2CrSi3 | Alexandria | PBE-GGA | relaxed" raw_formation_energy_mev_per_atom=-310 n_ef_per_ev_fu=5.7 pbc="T T T"
Cr -0.231 -0.031 3.904
Si -4.260 1.073 5.633
Si -3.039 -2.850 1.756
Np -1.668 -2.789 4.515
Np -1.814 -2.809 6.987
Si -0.674 -4.053 1.887
Si -0.817 -1.401 1.899
Np -3.266 -0.191 3.004
Si -1.895 -0.130 5.763
Np -3.120 -0.171 0.533
Cr 0.000 0.000 0.000
Si -4.116 -1.579 5.620

Entry 6:
4
Lattice="-4.373 -0.057 0.144 -2.077 -3.200 2.143 -1.985 3.367 7.573" Properties=species:S:1:pos:R:3 comment="Pr2InSb | Alexandria | PBE-GGA | relaxed" raw_formation_energy_mev_per_atom=-713 n_ef_per_ev_fu=1.9 polymorph_energy_ev_per_fu=0.388 pbc="T T T"
Sb 0.000 0.000 0.000
Pr -2.112 -0.055 2.338
Pr -6.323 0.165 7.521
In -4.217 0.055 4.930

Entry 7:
14
Lattice="-2.739 -5.194 -2.493 2.245 -5.688 1.816 -4.400 -1.273 4.942" Properties=species:S:1:pos:R:3 comment="PmPClO4 | Alexandria | PBE-GGA | relaxed" raw_formation_energy_mev_per_atom=-2455 pbc="T T T"
Pm -1.096 -7.880 0.364
O -2.579 -8.363 2.024
O -3.140 -8.691 4.503
O 0.085 -3.645 1.352
P -3.520 -7.966 3.158
P -1.373 -4.187 1.108
O -4.979 -8.509 2.913
Cl -0.594 -0.495 0.630
O -1.754 -3.462 -0.238
O -1.338 -5.711 0.893
O -3.555 -6.443 3.373
O -2.314 -3.791 2.242
Cl -4.300 -11.659 3.636
Pm -3.797 -4.273 3.901

Entry 8:
5
Lattice="4.605 0.000 0.000 0.000 4.605 0.000 0.000 0.000 4.605" Properties=species:S:1:pos:R:3 comment="NaTlB3 | Alexandria | PBE-GGA | relaxed" formation_enthalpy_0k_ev_per_atom=2.567 n_ef_per_ev_fu=2.2 polymorph_energy_ev_per_fu=1.602 pbc="T T T"
B 0.000 0.000 2.303
B 0.000 2.303 0.000
Tl 2.303 2.303 2.303
Na 0.000 0.000 0.000
B 2.303 0.000 0.000

Entry 9:
5
Lattice="6.284 0.000 0.000 0.000 6.284 0.000 0.000 0.000 6.284" Properties=species:S:1:pos:R:3 comment="K3ReI | Alexandria | PBE-GGA | relaxed" raw_formation_energy_mev_per_atom=852 n_ef_per_ev_fu=14.5 polymorph_energy_ev_per_fu=0.000 pbc="T T T"
K 0.000 0.000 3.142
I 3.142 3.142 3.142
Re 0.000 0.000 0.000
K 3.142 0.000 0.000
K 0.000 3.142 0.000

Entry 10:
4
Lattice="-3.022 0.802 -0.571 -1.087 -1.120 4.183 0.854 4.173 1.339" Properties=species:S:1:pos:R:3 comment="AlTlRu2 | Alexandria | PBE-GGA | relaxed" formation_enthalpy_0k_ev_per_atom=0.124 n_ef_per_ev_fu=5.2 polymorph_energy_ev_per_fu=0.328 pbc="T T T"
Ru 0.000 0.000 0.000
Tl -2.054 -0.159 1.806
Ru -0.116 1.527 2.761
Al -1.084 2.487 0.384

Entry 11:
6
Lattice="-3.428 1.182 -0.972 -0.234 -4.367 -4.484 -2.542 -4.033 4.062" Properties=species:S:1:pos:R:3 comment="Zr2Rh | Alexandria | PBE-GGA | relaxed" formation_enthalpy_0k_ev_per_atom=-0.023 n_ef_per_ev_fu=4.8 pbc="T T T"
Zr -2.200 -6.658 -0.334
Zr -0.576 -1.742 -0.087
Rh -1.714 0.591 -0.486
Rh -1.388 -4.200 -0.211
Zr -3.581 -3.540 1.075
Zr -2.623 -3.679 -2.469

Entry 12:
4
Lattice="-1.023 -0.875 -4.738 -4.315 -0.530 3.548 -1.999 2.996 -0.205" Properties=species:S:1:pos:R:3 comment="TeWCl2 | Alexandria | PBE-GGA | relaxed" raw_formation_energy_mev_per_atom=750 n_ef_per_ev_fu=2.7 polymorph_energy_ev_per_fu=4.127 pbc="T T T"
Cl 0.000 0.000 0.000
Te -3.157 1.233 1.672
W -2.669 -0.702 -0.595
Cl -1.511 1.060 -2.471

Entry 13:
7
Lattice="-3.486 -1.737 4.103 0.301 -5.319 1.904 4.931 0.197 8.173" Properties=species:S:1:pos:R:3 comment="Nd4YMg2 | Alexandria | PBE-GGA | relaxed" formation_enthalpy_0k_ev_per_atom=0.255 n_ef_per_ev_fu=9.7 pbc="T T T"
Mg 3.044 -2.506 9.326
Nd 0.299 -1.773 3.404
Y 0.873 -3.430 7.090
Nd 2.592 -0.798 5.765
Mg -1.298 -4.353 4.855
Nd -0.846 -6.061 8.416
Nd 1.446 -5.086 10.777